No. 1
CaMg6Ni: relaxed, PBE.

## Properties
For the energy, the calculation gives -2.12 eV/atom. The value obtained for the energy above the most stable polymorph in this dataset is 5 meV/atom. The value obtained for the calculated formation energy is 0.0493 eV/atom. The space group is Amm2 (38).

Cell lengths 6.7569, 6.7569, 4.9671 Å; angles 90.00, 90.00, 126.65 degrees
With the nearest neighbours (Å) after each atom.
Element x y z (fractional)
1 Ca 0.8125 0.1875 0.5000  2 Ni 3.13, 10 Mg 3.16-3.39
2 Mg 0.1978 0.8022 0.0000  8 Mg 3.03-3.34, 2 Ni 3.29
3 Mg 0.6508 0.3492 0.0000  8 Mg 3.09-3.16, 2 Ca 3.16
4 Mg 0.8114 0.6858 0.5000  1 Ni 2.71, 3 Mg 3.02-3.03
5 Ni 0.3764 0.6236 0.5000  6 Mg 2.71-2.92
6 Mg 0.3142 0.1886 0.5000  1 Ni 2.71, 3 Mg 3.02-3.03
7 Mg 0.6579 0.8210 0.0000  6 Mg 2.91-3.16, 2 Ni 2.92, 2 Ca 3.21
8 Mg 0.1790 0.3421 0.0000  6 Mg 2.91-3.16, 2 Ni 2.92, 2 Ca 3.21

---

No. 2
TaINO2: relaxed, PBE.

## Properties
For the energy, the calculation gives -7.13 eV/atom. The formation energy without anion corrections is -804 meV per atom. The space group is P4/mmm (123).

Cell lengths 3.9202, 3.9202, 4.6231 Å; angles 90.00, 90.00, 90.00 degrees
With the nearest neighbours (Å) after each atom.
Element x y z (fractional)
1 Ta 0.0000 0.0000 0.0000  4 O 1.96
2 N 0.0000 0.0000 0.5000  2 Ta 2.31
3 I 0.5000 0.5000 0.5000  4 N 2.77, 8 O 3.03
4 O 0.5000 0.0000 0.0000  2 Ta 1.96
5 O 0.0000 0.5000 0.0000  2 Ta 1.96